(1)
A plane-wave DFT calculation with PBE was carried out for Ca2MnMo after structural relaxation.

Properties
For the final energy, the calculation gives -80.32 eV/cell. For the formation energy from the elements, the calculation gives 3.924 eV per formula unit. The value obtained for the offset from the most stable computed form is 0.614 eV/atom.

Lattice parameters (Å, degrees): 10.9577 10.9577 4.2499 90.00 90.00 90.00
Closest atoms and distances in Å follow each position.
Space group I-42d (No. 122)
Inequivalent atoms, fractional coordinates:
Ca1 0.0781 0.2500 0.1250 [8 per cell]  2 Mn 2.92
Mn1 0.0000 0.0000 0.0000 [4 per cell]  2 Mo 2.12
Mo1 0.0000 0.0000 0.5000 [4 per cell]  2 Mn 2.12

---

(2)
A plane-wave DFT calculation with PBE was carried out for CuRuIN2 after structural relaxation.

Properties
For the final energy, the calculation gives -27.07 eV/cell. Its formation energy (no corrections) is 86.81 kJ/mol of atoms. The value obtained for the offset from the most stable computed form is 0.000 eV/atom.

Lattice parameters (Å, degrees): 3.8033 3.8033 5.9262 90.00 90.00 90.00
Closest atoms and distances in Å follow each position.
Space group P4/mmm (No. 123)
Inequivalent atoms, fractional coordinates:
Cu1 0.0000 0.0000 0.0000 [1 per cell]  4 I 2.69
Ru1 0.5000 0.5000 0.5000 [1 per cell]  4 N 1.90
I1 0.5000 0.5000 0.0000 [1 per cell]  4 Cu 2.69, 2 Ru 2.96
N1 0.0000 0.5000 0.5000 [2 per cell]  2 Ru 1.90

---

(3)
A plane-wave DFT calculation with PBE was carried out for Sn2Hg5I4 after structural relaxation.

Properties
For the final energy, the calculation gives -18.24 eV/cell. Its formation energy (no corrections) is -22.11 kJ/mol of atoms.

Lattice parameters (Å, degrees): 6.2871 4.4794 16.4981 90.00 96.58 90.00
Closest atoms and distances in Å follow each position.
Space group P2/m (No. 10)
Inequivalent atoms, fractional coordinates:
Sn1 0.1186 0.0000 0.2185 [2 per cell]  2 Hg 2.96-3.05, 4 I 3.13-3.23
Hg1 0.0000 0.0000 0.5000 [1 per cell]  2 Hg 3.10
Hg2 0.2327 0.0000 0.6763 [2 per cell]  1 Sn 2.96, 1 Hg 3.10
Hg3 0.3908 0.0000 0.0766 [2 per cell]  1 Hg 3.01, 1 Sn 3.05
I1 0.1401 0.5000 0.8826 [2 per cell]  2 Sn 3.13
I2 0.3527 0.5000 0.3382 [2 per cell]  2 Sn 3.23, 2 Hg 3.47

---

Record order is preserved below.
Spin magnetization: 0.004 0.374 0.000 μB per cell
Record order is preserved below.
Theoretical density: 3.0 6.2 6.3 Mg/m³